DFT (PBE-GGA) results for an optimized crystal structure of RbSnAu4.

Geometry as CIF:
```
data_RbSnAu4
_chemical_formula_sum 'Rb4 Sn4 Au16'
_space_group_name_H-M_alt 'F -4 3 m'
_space_group_IT_number 216
_space_group_name_Hall 'F -4 2 3'
_cell_length_a 8.186
_cell_length_b 8.186
_cell_length_c 8.186
_cell_angle_alpha 90.00
_cell_angle_beta 90.00
_cell_angle_gamma 90.00
loop_
_atom_site_label
_atom_site_fract_x
_atom_site_fract_y
_atom_site_fract_z
Rb1 0.000 0.000 0.000
Sn1 0.250 0.250 0.750
Au1 0.125 0.125 0.375
```

Results
Formation energy from the elements   -3.8 kJ per mole of atoms
Energy   -18.31 eV per formula unit
Excess energy over the best structure of this formula in the dataset   0.87 eV per formula unit